# Ca2SmTl2Ag2, optimized geometry, DFT GGA-PBE
data_Ca2SmTl2Ag2
_cell_length_a 4.9585
_cell_length_b 4.9585
_cell_length_c 9.7183
_cell_angle_alpha 75.22
_cell_angle_beta 75.22
_cell_angle_gamma 60.00
_space_group_name_H-M_alt 'P 1'
_space_group_IT_number 1
loop_
_space_group_symop_operation_xyz
'x,y,z'
loop_
_atom_site_label
_atom_site_type_symbol
_atom_site_fract_x
_atom_site_fract_y
_atom_site_fract_z
Ag1 Ag 0.3917 0.3917 0.8248
Ag2 Ag 0.6083 0.6083 0.1752
Ca1 Ca 0.1232 0.1232 0.6305
Ca2 Ca 0.8768 0.8768 0.3695
Tl1 Tl 0.2661 0.2661 0.2017
Tl2 Tl 0.7339 0.7339 0.7983
Sm1 Sm 0.0000 0.0000 0.0000
# space group	R-3m, No. 166
# formation energy	-0.24	eV/atom



# BiOsO5, optimized geometry, DFT GGA-PBE
data_BiOsO5
_cell_length_a 5.5352
_cell_length_b 5.8536
_cell_length_c 9.9334
_cell_angle_alpha 121.52
_cell_angle_beta 115.02
_cell_angle_gamma 69.07
_space_group_name_H-M_alt 'P 1'
_space_group_IT_number 1
loop_
_space_group_symop_operation_xyz
'x,y,z'
loop_
_atom_site_label
_atom_site_type_symbol
_atom_site_fract_x
_atom_site_fract_y
_atom_site_fract_z
O1 O 0.1783 0.7152 0.7696
O2 O 0.1954 0.6495 0.3138
O3 O 0.7914 0.3832 0.1906
O4 O 0.3448 0.2402 0.0684
O5 O 0.7130 0.7044 0.9353
O6 O 0.3738 0.2195 0.7597
O7 O 0.3522 0.7846 0.1347
O8 O 0.8578 0.1813 0.7686
O9 O 0.6658 0.7518 0.4474
O10 O 0.4566 0.4562 0.5741
Os1 Os 0.5217 0.4551 0.7705
Os2 Os 0.4648 0.5698 0.2290
Bi1 Bi 0.0917 0.8364 0.5684
Bi2 Bi 0.9926 0.0529 0.9700
# space group	P1, No. 1
# E_form (uncorrected)	-965	meV/atom
# energy relative to the lowest polymorph listed for this composition	0.065	eV per atom



# Ac3Pr2Y8, optimized geometry, DFT GGA-PBE
data_Ac3Pr2Y8
_cell_length_a 5.8313
_cell_length_b 7.2785
_cell_length_c 12.1874
_cell_angle_alpha 107.37
_cell_angle_beta 103.77
_cell_angle_gamma 90.00
_space_group_name_H-M_alt 'P 1'
_space_group_IT_number 1
loop_
_space_group_symop_operation_xyz
'x,y,z'
loop_
_atom_site_label
_atom_site_type_symbol
_atom_site_fract_x
_atom_site_fract_y
_atom_site_fract_z
Y1 Y 0.3111 0.8117 0.6234
Y2 Y 0.1569 0.4207 0.3125
Y3 Y 0.5758 0.5756 0.1512
Y4 Y 0.8431 0.5793 0.6875
Y5 Y 0.8431 0.1082 0.6875
Y6 Y 0.1569 0.8918 0.3125
Y7 Y 0.4242 0.4244 0.8488
Y8 Y 0.6889 0.1883 0.3766
Ac1 Ac 0.5000 0.0000 0.0000
Ac2 Ac 0.0000 0.7264 0.0000
Ac3 Ac 0.0000 0.2736 0.0000
Pr1 Pr 0.7214 0.7209 0.4418
Pr2 Pr 0.2786 0.2791 0.5582
# space group	C2/m, No. 12
# formation energy	0.18	eV/atom